[1]
Density functional theory data (PBE) for a relaxed structure of Cs2ScGe2O6.

abc: 6.0354 6.0354 18.0092
angles: 90.00 90.00 120.00
Space group R-3m (No. 166, hexagonal axes)
Inequivalent atoms, fractional coordinates:
Cs 0.0000 0.0000 0.2188 [6 per cell]
Sc 0.0000 0.0000 0.0000 [3 per cell]
Ge 0.0000 0.0000 0.4215 [6 per cell]
O 0.0051 0.5025 0.2653 [18 per cell]

Total DFT energy (no corrections), eV per atom: -6.21
Spin magnetization, μB/cell: 2.70

=====

[2]
Density functional theory data (PBE) for a relaxed structure of U2Bi2O7.

abc: 7.663 3.815 11.199
angles: 90.00 90.00 90.00
Space group Pmma (No. 51)
Inequivalent atoms, fractional coordinates:
U 0.000 0.000 0.000 [2 per cell]
U 0.250 0.500 0.247 [2 per cell]
Bi 0.000 0.000 0.500 [2 per cell]
Bi 0.250 0.500 0.737 [2 per cell]
O 0.011 0.500 0.367 [4 per cell]
O 0.017 0.500 0.118 [4 per cell]
O 0.250 0.000 0.129 [2 per cell]
O 0.250 0.000 0.355 [2 per cell]
O 0.250 0.000 0.900 [2 per cell]

Total DFT energy (no corrections), eV per atom: -8.23
Spin magnetization, μB/cell: 4.65

=====

[3]
Density functional theory data (PBE) for a relaxed structure of Li2SiAg.

abc: 3.217 3.217 6.060
angles: 90.00 90.00 90.00
Space group P4mm (No. 99)
Inequivalent atoms, fractional coordinates:
Li 0.000 0.000 0.000 [1 per cell]
Li 0.500 0.500 0.269 [1 per cell]
Si 0.000 0.000 0.503 [1 per cell]
Ag 0.500 0.500 0.747 [1 per cell]

Total DFT energy (no corrections), eV per atom: -3.06
Spin magnetization, μB/cell: 0.00

=====

[4]
Density functional theory data (PBE) for a relaxed structure of La2AsIr.

abc: 3.476 3.756 7.529
angles: 90.00 90.00 90.00
Space group Pmmm (No. 47)
Inequivalent atoms, fractional coordinates:
La 0.000 0.000 0.240 [2 per cell]
As 0.500 0.500 0.500 [1 per cell]
Ir 0.500 0.500 0.000 [1 per cell]

Total DFT energy (no corrections), eV per atom: -6.71
Spin magnetization, μB/cell: 0.00
Energy of formation, eV per atom: -0.870

=====

[5]
Density functional theory data (PBE) for a relaxed structure of BaCd2S2.

abc: 4.148 4.148 14.998
angles: 90.00 90.00 90.00
Space group I4/mmm (No. 139)
Inequivalent atoms, fractional coordinates:
Ba 0.000 0.000 0.000 [2 per cell]
Cd 0.000 0.500 0.250 [4 per cell]
S 0.000 0.000 0.399 [4 per cell]

Total DFT energy (no corrections), eV per atom: -3.11
Spin magnetization, μB/cell: 0.00

=====

[6]
Density functional theory data (PBE) for a relaxed structure of Li2TlCd6.

abc: 13.532 4.277 7.098
angles: 90.00 106.91 90.00
Space group C2/m (No. 12)
Inequivalent atoms, fractional coordinates:
Li 0.056 0.000 0.324 [4 per cell]
Tl 0.000 0.500 0.000 [2 per cell]
Cd 0.106 0.500 0.643 [4 per cell]
Cd 0.168 0.000 0.993 [4 per cell]
Cd 0.226 0.500 0.337 [4 per cell]

Total DFT energy (no corrections), eV per atom: -1.41
Spin magnetization, μB/cell: 0.00
Energy of formation, eV per atom: -0.109